(1)
# Li2MoPtAu (PBE, relaxed)
data_Li2MoPtAu
_cell_length_a 4.3911
_cell_length_b 4.3911
_cell_length_c 5.1708
_cell_angle_alpha 90.00
_cell_angle_beta 90.00
_cell_angle_gamma 90.00
_symmetry_space_group_name_H-M 'P 4/m m m'
_symmetry_Int_Tables_number 123
_symmetry_space_group_name_Hall '-P 4 2'
loop_
_atom_site_label
_atom_site_type_symbol
_atom_site_fract_x
_atom_site_fract_y
_atom_site_fract_z
Li1 Li 0.0000 0.5000 0.0000
Mo1 Mo 0.0000 0.0000 0.5000
Pt1 Pt 0.5000 0.5000 0.5000
Au1 Au 0.5000 0.5000 0.0000
# Formation energy from the elements, eV per atom: 0.7040
# Total magnetic moment, μB/atom: 0.817
# VASP energy, Ha/atom: -0.1504
# Calculated volume, Å³/atom: 19.94

=====

(2)
# LiTcMo2Au (PBE, relaxed)
data_LiTcMo2Au
_cell_length_a 4.2272
_cell_length_b 4.2272
_cell_length_c 4.1698
_cell_angle_alpha 90.00
_cell_angle_beta 90.00
_cell_angle_gamma 90.00
_symmetry_space_group_name_H-M 'P 4/m m m'
_symmetry_Int_Tables_number 123
_symmetry_space_group_name_Hall '-P 4 2'
loop_
_atom_site_label
_atom_site_type_symbol
_atom_site_fract_x
_atom_site_fract_y
_atom_site_fract_z
Li1 Li 0.0000 0.0000 0.0000
Tc1 Tc 0.0000 0.0000 0.5000
Mo1 Mo 0.0000 0.5000 0.0000
Au1 Au 0.5000 0.5000 0.5000
# Formation energy from the elements, eV per atom: 1.1167
# Total magnetic moment, μB/atom: 0.000
# VASP energy, Ha/atom: -0.2325
# Calculated volume, Å³/atom: 14.90

=====

(3)
# LiTlMoAu2 (PBE, relaxed)
data_LiTlMoAu2
_cell_length_a 5.2069
_cell_length_b 5.2069
_cell_length_c 4.7846
_cell_angle_alpha 90.00
_cell_angle_beta 90.00
_cell_angle_gamma 90.00
_symmetry_space_group_name_H-M 'P 4/m m m'
_symmetry_Int_Tables_number 123
_symmetry_space_group_name_Hall '-P 4 2'
loop_
_atom_site_label
_atom_site_type_symbol
_atom_site_fract_x
_atom_site_fract_y
_atom_site_fract_z
Li1 Li 0.0000 0.0000 0.0000
Tl1 Tl 0.0000 0.0000 0.5000
Mo1 Mo 0.5000 0.5000 0.0000
Au1 Au 0.0000 0.5000 0.5000
# Formation energy from the elements, eV per atom: 1.1352
# Total magnetic moment, μB/atom: 0.863
# VASP energy, Ha/atom: -0.1175
# Calculated volume, Å³/atom: 25.94

=====

(4)
# LiAuN2 (PBE, relaxed)
data_LiAuN2
_cell_length_a 3.2413
_cell_length_b 3.2413
_cell_length_c 17.4958
_cell_angle_alpha 90.00
_cell_angle_beta 90.00
_cell_angle_gamma 120.00
_symmetry_space_group_name_H-M 'R -3 m'
_symmetry_Int_Tables_number 166
_symmetry_space_group_name_Hall '-R 3 2"'
loop_
_atom_site_label
_atom_site_type_symbol
_atom_site_fract_x
_atom_site_fract_y
_atom_site_fract_z
Li1 Li 0.0000 0.0000 0.0000
Au1 Au 0.0000 0.0000 0.5000
N1 N 0.0000 0.0000 0.1082
# Total magnetic moment, μB/atom: 0.000
# VASP energy, Ha/atom: -0.1676
# Calculated volume, Å³/atom: 13.27
# Energy relative to the lowest polymorph listed for this composition, kcal/mol of atoms: 0.000